Record 1
DFT (PBE-GGA) results for a relaxed PrDy6Y2Tm3 crystal.

Values from the calculation:
The energy relative to the elements comes out at 0.022 eV/atom.

Lattice parameters (Å, degrees): 6.1414 6.1414 11.7634 94.98 94.98 119.96
Closest atoms and distances in Å follow each position.
Element x y z (fractional)
Pr (0.0000, 0.0000, 0.0000)  6 Y 3.55, 6 Dy 3.58-3.59
Dy (0.9145, 0.5810, 0.7459)  3 Tm 3.50-3.51, 6 Dy 3.54-3.55, 2 Y 3.58-3.59, 1 Pr 3.59
Dy (0.7519, 0.7519, 0.2540)  3 Tm 3.51, 6 Dy 3.54-3.55, 1 Pr 3.58, 2 Y 3.59
Dy (0.0855, 0.4190, 0.2541)  3 Tm 3.50-3.51, 6 Dy 3.54-3.55, 2 Y 3.58-3.59, 1 Pr 3.59
Dy (0.5810, 0.9145, 0.7459)  3 Tm 3.50-3.51, 6 Dy 3.54-3.55, 2 Y 3.58-3.59, 1 Pr 3.59
Dy (0.2481, 0.2481, 0.7460)  3 Tm 3.51, 6 Dy 3.54-3.55, 1 Pr 3.58, 2 Y 3.59
Dy (0.4190, 0.0855, 0.2541)  3 Tm 3.50-3.51, 6 Dy 3.54-3.55, 2 Y 3.58-3.59, 1 Pr 3.59
Y (0.3334, 0.6666, 0.0000)  3 Y 3.54-3.55, 3 Pr 3.55, 6 Dy 3.58-3.59
Y (0.6666, 0.3334, 0.0000)  3 Y 3.54-3.55, 3 Pr 3.55, 6 Dy 3.58-3.59
Tm (0.1671, 0.8329, 0.5000)  6 Dy 3.50-3.51, 6 Tm 3.54-3.55
Tm (0.8329, 0.1671, 0.5000)  6 Dy 3.50-3.51, 6 Tm 3.54-3.55
Tm (0.5000, 0.5000, 0.5000)  6 Dy 3.51, 6 Tm 3.54-3.55

=====

Record 2
DFT (PBE-GGA) results for a relaxed PrDyY3Tm crystal.

Values from the calculation:
The energy relative to the elements comes out at 0.025 eV/atom.

Lattice parameters (Å, degrees): 5.0569 8.0035 10.1188 90.00 90.00 108.42
Closest atoms and distances in Å follow each position.
Element x y z (fractional)
Pr (0.0000, 0.0000, 0.5000)  4 Dy 3.58, 2 Tm 3.58, 6 Y 3.59
Pr (0.0000, 0.0000, 0.0000)  4 Dy 3.58, 2 Tm 3.58, 6 Y 3.59
Dy (0.4991, 0.9982, 0.7500)  2 Tm 3.57, 6 Y 3.57-3.60, 4 Pr 3.58
Dy (0.5009, 0.0018, 0.2500)  2 Tm 3.57, 6 Y 3.57-3.60, 4 Pr 3.58
Y (0.6674, 0.3349, 0.4996)  5 Y 3.56-3.58, 3 Tm 3.57, 2 Dy 3.57-3.60, 2 Pr 3.59
Y (0.3326, 0.6651, 0.5004)  5 Y 3.56-3.58, 3 Tm 3.57, 2 Dy 3.57-3.60, 2 Pr 3.59
Y (0.3326, 0.6651, 0.9996)  5 Y 3.56-3.58, 3 Tm 3.57, 2 Dy 3.57-3.60, 2 Pr 3.59
Y (0.6674, 0.3349, 0.0004)  5 Y 3.56-3.58, 3 Tm 3.57, 2 Dy 3.57-3.60, 2 Pr 3.59
Y (0.1673, 0.3345, 0.7500)  6 Y 3.56-3.58, 2 Tm 3.57, 2 Pr 3.59, 2 Dy 3.59
Y (0.8327, 0.6655, 0.2500)  6 Y 3.56-3.58, 2 Tm 3.57, 2 Pr 3.59, 2 Dy 3.59
Tm (0.8334, 0.6668, 0.7500)  2 Dy 3.57, 8 Y 3.57, 2 Pr 3.58
Tm (0.1666, 0.3332, 0.2500)  2 Dy 3.57, 8 Y 3.57, 2 Pr 3.58

=====

Record 3
DFT (PBE-GGA) results for a relaxed PrDy6Y2Tm crystal.

Values from the calculation:
The energy relative to the elements comes out at 0.124 eV/atom.

Lattice parameters (Å, degrees): 9.3913 8.8123 8.8123 116.76 92.68 92.68
Closest atoms and distances in Å follow each position.
Element x y z (fractional)
Pr (0.2500, 0.9674, 0.0326)  4 Y 3.38-3.53, 6 Dy 3.54-3.74
Pr (0.7500, 0.0326, 0.9674)  4 Y 3.38-3.53, 6 Dy 3.54-3.74
Dy (0.0582, 0.1219, 0.7581)  7 Dy 3.43-3.73, 1 Y 3.51, 2 Pr 3.71-3.74
Dy (0.4418, 0.2419, 0.8781)  7 Dy 3.43-3.73, 1 Y 3.51, 2 Pr 3.71-3.74
Dy (0.9418, 0.8781, 0.2419)  7 Dy 3.43-3.73, 1 Y 3.51, 2 Pr 3.71-3.74
Dy (0.5582, 0.7581, 0.1219)  7 Dy 3.43-3.73, 1 Y 3.51, 2 Pr 3.71-3.74
Dy (0.3160, 0.9899, 0.4413)  3 Dy 3.20-3.57, 2 Y 3.42-3.58, 1 Tm 3.44, 1 Pr 3.54
Dy (0.1840, 0.5587, 0.0101)  3 Dy 3.20-3.57, 2 Y 3.42-3.58, 1 Tm 3.44, 1 Pr 3.54
Dy (0.6840, 0.0101, 0.5587)  3 Dy 3.20-3.57, 2 Y 3.42-3.58, 1 Tm 3.44, 1 Pr 3.54
Dy (0.8160, 0.4413, 0.9899)  3 Dy 3.20-3.57, 2 Y 3.42-3.58, 1 Tm 3.44, 1 Pr 3.54
Dy (0.1138, 0.7093, 0.4809)  4 Dy 3.20-3.46, 3 Y 3.29-3.46, 2 Tm 3.45-3.47
Dy (0.3862, 0.5191, 0.2907)  4 Dy 3.20-3.46, 3 Y 3.29-3.46, 2 Tm 3.45-3.47
Dy (0.8862, 0.2907, 0.5191)  4 Dy 3.20-3.46, 3 Y 3.29-3.46, 2 Tm 3.45-3.47
Dy (0.6138, 0.4809, 0.7093)  4 Dy 3.20-3.46, 3 Y 3.29-3.46, 2 Tm 3.45-3.47
Y (0.4489, 0.7964, 0.6941)  6 Dy 3.29-3.58, 2 Pr 3.38-3.53, 1 Tm 3.50
Y (0.0511, 0.3059, 0.2036)  6 Dy 3.29-3.58, 2 Pr 3.38-3.53, 1 Tm 3.50
Y (0.5511, 0.2036, 0.3059)  6 Dy 3.29-3.58, 2 Pr 3.38-3.53, 1 Tm 3.50
Y (0.9489, 0.6941, 0.7964)  6 Dy 3.29-3.58, 2 Pr 3.38-3.53, 1 Tm 3.50
Tm (0.2500, 0.4114, 0.5886)  6 Dy 3.44-3.47, 4 Y 3.50-3.82
Tm (0.7500, 0.5886, 0.4114)  6 Dy 3.44-3.47, 4 Y 3.50-3.82

=====

no.,size of the total moment (Bohr magnetons per cell)
1,0.000
2,0.000
3,0.000